1.
{"formula": "Cs4TlHg4", "functional": "GGA-PBE", "state": "relaxed", "density_g_cm3": 5.582, "ef_ev_per_atom": -0.193, "cell": [[7.7584, 0.0000, 0.0000], [0.0000, 10.8618, 0.0000], [0.0000, 0.0000, 10.8618]], "species": ["Cs", "Cs", "Cs", "Cs", "Cs", "Cs", "Cs", "Cs", "Hg", "Hg", "Hg", "Hg", "Hg", "Hg", "Hg", "Hg", "Tl", "Tl"], "frac_coords": [[0.8937, 0.0319, 0.6816], [0.8937, 0.4681, 0.8184], [0.1063, 0.9681, 0.3184], [0.3937, 0.1816, 0.9681], [0.6063, 0.6816, 0.4681], [0.6063, 0.8184, 0.0319], [0.3937, 0.3184, 0.5319], [0.1063, 0.5319, 0.1816], [0.5930, 0.4792, 0.1294], [0.4070, 0.9792, 0.6294], [0.5930, 0.0208, 0.3706], [0.9070, 0.3706, 0.4792], [0.0930, 0.6294, 0.5208], [0.9070, 0.1294, 0.0208], [0.4070, 0.5208, 0.8706], [0.0930, 0.8706, 0.9792], [0.2500, 0.7500, 0.7500], [0.7500, 0.2500, 0.2500]]}

2.
{"formula": "MnTeS2Cl", "functional": "GGA-PBE", "state": "relaxed", "density_g_cm3": 3.451, "raw_formation_energy_kj_per_mol_atoms": 47.3, "e_above_lowest_polymorph_ev_per_atom": 0.3154, "cell": [[-4.8988, 1.3479, 0.8357], [-1.0997, -4.8420, 1.3637], [1.1362, 1.1125, 4.8662]], "species": ["Mn", "Te", "Cl", "S", "S"], "frac_coords": [[0.5000, 0.5000, 0.5000], [0.0000, 0.0000, 0.0000], [0.0000, 0.0000, 0.5000], [0.5000, 0.0000, 0.0000], [0.0000, 0.5000, 0.0000]]}

3.
{"formula": "GaSi2Ir", "functional": "GGA-PBE", "state": "relaxed", "density_g_cm3": 6.215, "raw_formation_energy_kj_per_mol_atoms": 8.1, "cell": [[5.4875, 0.0000, 0.0000], [0.0000, 5.4875, 0.0000], [2.7438, 2.7438, 5.6454]], "species": ["Ir", "Ir", "Si", "Si", "Si", "Si", "Ga", "Ga"], "frac_coords": [[0.0000, 0.0000, 0.0000], [0.7500, 0.2500, 0.5000], [0.0933, 0.6250, 0.2500], [0.8750, 0.9067, 0.7500], [0.6567, 0.1250, 0.2500], [0.3750, 0.3433, 0.7500], [0.5000, 0.5000, 0.0000], [0.2500, 0.7500, 0.5000]]}

4.
{"formula": "In2CoNi", "functional": "GGA-PBE", "state": "relaxed", "density_g_cm3": 8.672, "e_above_lowest_polymorph_ev_per_atom": 0.1858, "ef_ev_per_atom": 0.211, "cell": [[-0.6021, 3.1038, -1.2218], [-3.3803, -0.6917, -0.0915], [-0.5486, 1.9798, 5.2997]], "species": ["Ni", "In", "In", "Co"], "frac_coords": [[0.0000, 0.0000, 0.4932], [0.5000, 0.5000, 0.2984], [0.0000, 0.0000, 0.9506], [0.5000, 0.5000, 0.7577]]}

5.
{"formula": "Sm2HoThSe4", "functional": "GGA-PBE", "state": "relaxed", "density_g_cm3": 8.301, "raw_formation_energy_kj_per_mol_atoms": -165.1, "cell": [[4.1220, 0.0000, 0.0000], [0.0000, 7.1655, -0.1450], [0.0000, 2.5210, 6.8135]], "species": ["Se", "Se", "Se", "Se", "Sm", "Sm", "Th", "Ho"], "frac_coords": [[0.0000, 0.7498, 0.7424], [0.5000, 0.2562, 0.7407], [0.5000, 0.7438, 0.2593], [0.0000, 0.2502, 0.2576], [0.5000, 0.0000, 0.5000], [0.0000, 0.0000, 0.0000], [0.5000, 0.5000, 0.0000], [0.0000, 0.5000, 0.5000]]}

6.
{"formula": "Zr8TlN2", "functional": "GGA-PBE", "state": "relaxed", "density_g_cm3": 6.561, "raw_formation_energy_kj_per_mol_atoms": -25.6, "cell": [[-3.5912, 4.1822, 1.7964], [0.0376, -1.6033, 7.0872], [4.3115, 2.9384, 5.0574]], "species": ["Tl", "Zr", "Zr", "Zr", "Zr", "Zr", "Zr", "Zr", "Zr", "N", "N"], "frac_coords": [[0.0000, 0.0000, 0.0000], [0.3047, 0.3635, 0.8354], [0.2153, 0.3465, 0.3465], [0.2913, 0.8019, 0.8019], [0.7087, 0.1981, 0.1981], [0.3047, 0.8354, 0.3635], [0.6953, 0.1646, 0.6365], [0.7847, 0.6535, 0.6535], [0.6953, 0.6365, 0.1646], [0.3507, 0.1856, 0.1856], [0.6493, 0.8144, 0.8144]]}

7.
{"formula": "Y2ThMg", "functional": "GGA-PBE", "state": "relaxed", "density_g_cm3": 5.961, "e_above_lowest_polymorph_ev_per_atom": 0.1131, "ef_ev_per_atom": 0.064, "cell": [[4.9646, 0.0000, 0.0000], [0.0000, 4.9357, 0.0000], [0.0000, 0.0000, 4.9357]], "species": ["Mg", "Y", "Y", "Th"], "frac_coords": [[0.5000, 0.0000, 0.0000], [0.0000, 0.0000, 0.5000], [0.0000, 0.5000, 0.0000], [0.5000, 0.5000, 0.5000]]}

8.
{"formula": "Pm2HoHf", "functional": "GGA-PBE", "state": "relaxed", "density_g_cm3": 8.836, "e_above_lowest_polymorph_ev_per_atom": 0.0589, "ef_ev_per_atom": 0.215, "cell": [[-0.6055, 0.0910, 3.9882], [2.4449, -3.1790, 0.4437], [5.7119, 4.4995, 0.7645]], "species": ["Pm", "Pm", "Ho", "Hf"], "frac_coords": [[0.0000, 0.0000, 0.2242], [0.0000, 0.0000, 0.7758], [0.5000, 0.5000, 0.5000], [0.5000, 0.5000, 0.0000]]}

9.
{"formula": "LiBeP2O", "functional": "GGA-PBE", "state": "relaxed", "density_g_cm3": 2.356, "raw_formation_energy_kj_per_mol_atoms": 63.1, "e_above_lowest_polymorph_ev_per_atom": 0.9253, "cell": [[4.5799, 0.0000, 0.0000], [0.0000, 4.5799, 0.0000], [0.0000, 0.0000, 3.1549]], "species": ["Be", "O", "P", "P", "Li"], "frac_coords": [[0.5000, 0.5000, 0.5000], [0.0000, 0.0000, 0.5000], [0.5000, 0.0000, 0.0000], [0.0000, 0.5000, 0.0000], [0.0000, 0.0000, 0.0000]]}

10.
{"formula": "KRb2AgPb", "functional": "GGA-PBE", "state": "relaxed", "density_g_cm3": 3.399, "e_above_lowest_polymorph_ev_per_atom": 0.0000, "ef_ev_per_atom": 0.055, "cell": [[-6.5890, -1.5631, 0.9372], [1.7271, -4.2325, 5.0833], [-0.4673, 4.1236, 3.5922]], "species": ["Ag", "Pb", "K", "Rb", "Rb"], "frac_coords": [[0.0000, 0.0000, 0.0000], [0.0000, 0.0000, 0.5000], [0.5000, 0.5000, 0.5000], [0.5000, 0.0000, 0.0000], [0.0000, 0.5000, 0.0000]]}

11.
{"formula": "AcCdNi2", "functional": "GGA-PBE", "state": "relaxed", "density_g_cm3": 8.816, "ef_ev_per_atom": -0.209, "cell": [[-0.9979, -4.2326, -1.0990], [3.1307, -2.6395, -1.8304], [2.0847, -3.7836, 3.5261]], "species": ["Ni", "Ni", "Cd", "Ac"], "frac_coords": [[0.1964, 0.1964, 0.4108], [0.8036, 0.8036, 0.5892], [0.5000, 0.5000, 0.5000], [0.0000, 0.0000, 0.0000]]}

12.
{"formula": "AlIn2Hg8", "functional": "GGA-PBE", "state": "relaxed", "density_g_cm3": 10.742, "ef_ev_per_atom": 0.047, "cell": [[4.4439, 0.0000, -1.0414], [0.1161, 6.1711, 0.4956], [0.1681, 3.1536, 10.7200]], "species": ["Hg", "Hg", "Hg", "Hg", "Hg", "Hg", "Hg", "Hg", "In", "In", "Al"], "frac_coords": [[0.9680, 0.2955, 0.9360], [0.4203, 0.7233, 0.8407], [0.8249, 0.7394, 0.6499], [0.5797, 0.2767, 0.1593], [0.1751, 0.2606, 0.3501], [0.0320, 0.7045, 0.0640], [0.3630, 0.2794, 0.7260], [0.6370, 0.7206, 0.2740], [0.2284, 0.7380, 0.4568], [0.7716, 0.2620, 0.5432], [0.5000, 0.0000, 0.0000]]}